Computed, not measured: crystalline Li14Mn2O9 at its relaxed geometry at the PBE+U level of DFT.

Computed properties:
energy = -5.21 eV per atom

Cell: 5.9052 5.9052 8.1267 Å, 90.00 90.00 120.00°
With the nearest neighbours (Å) after each atom.
Space group P-3 (No. 147)
One atom of each set of equivalent atoms:
Li: 0.0000 0.0000 0.2380 x2  4 O 2.00-2.13
Li: 0.0608 0.6883 0.9148 x6  3 O 1.90-2.12
Li: 0.0633 0.3581 0.5950 x6  3 O 1.90-2.10
Mn: 0.3333 0.6667 0.2481 x2  4 O 2.01-2.05
O: 0.0000 0.0000 0.5000 x1  8 Li 2.10-2.13
O: 0.0208 0.6900 0.1585 x6  5 Li 1.90-2.12, 1 Mn 2.05
O: 0.3333 0.6667 0.4953 x2  3 Li 1.90, 1 Mn 2.01